No. 1
The following is a DFT calculation (PBE) of an optimized crystal structure of YZrNb.

```
YZrNb
1.0
-0.481 1.533 3.305
2.196 -2.537 1.497
3.418 3.697 -3.260
Y Zr Nb
1 1 1
direct
0.004 0.004 0.008
0.301 0.301 0.601
0.695 0.695 0.391
```

Calculated values
DFT total energy ... -8.20 eV/atom
Space group ... I4mm
Total magnetization ... 0.000 μB per atom
E_form ... 0.1611 eV/atom

=====

No. 2
The following is a DFT calculation (PBE) of an optimized crystal structure of YZrNb.

```
YZrNb
1.0
-4.069 -2.392 1.612
2.928 -2.666 3.432
-1.668 7.970 7.616
Zr Nb Y
4 4 4
direct
0.250 0.692 0.586
0.750 0.808 0.086
0.750 0.308 0.586
0.250 0.192 0.086
0.250 0.174 0.711
0.750 0.826 0.711
0.250 0.674 0.211
0.750 0.326 0.211
0.750 0.771 0.389
0.750 0.271 0.889
0.250 0.229 0.389
0.250 0.729 0.889
```

Calculated values
DFT total energy ... -8.20 eV/atom
Space group ... Ama2
Total magnetization ... 0.000 μB per atom
E_form ... 0.1606 eV/atom

=====

No. 3
The following is a DFT calculation (PBE) of an optimized crystal structure of YZrNb.

```
YZrNb
1.0
-3.108 -4.207 -0.616
3.797 -2.996 1.299
-0.070 2.331 5.578
Y Nb Zr
2 2 2
direct
0.738 0.750 0.511
0.262 0.250 0.489
0.000 0.250 0.878
0.000 0.750 0.122
0.372 0.750 0.880
0.628 0.250 0.120
```

Calculated values
DFT total energy ... -8.20 eV/atom
Space group ... P2_1/m
Total magnetization ... 0.000 μB per atom
E_form ... 0.1591 eV/atom

=====

No. 4
The following is a DFT calculation (PBE) of an optimized crystal structure of Y2ZrNb2.

```
Y2ZrNb2
1.0
7.154 0.000 0.000
0.000 7.154 0.000
0.000 0.000 4.887
Y Nb Zr
4 4 2
direct
0.170 0.670 0.500
0.330 0.170 0.500
0.830 0.330 0.500
0.670 0.830 0.500
0.131 0.369 0.000
0.631 0.131 0.000
0.369 0.869 0.000
0.869 0.631 0.000
0.500 0.500 0.000
0.000 0.000 0.000
```

Calculated values
DFT total energy ... -8.00 eV/atom
Space group ... P4/mbm
Total magnetization ... 0.000 μB per atom
E_form ... 0.3253 eV/atom

=====

No. 5
The following is a DFT calculation (PBE) of an optimized crystal structure of YZrNb.

```
YZrNb
1.0
5.750 0.000 0.000
2.875 3.718 0.000
2.875 0.000 7.205
Zr Y Nb
2 2 2
direct
0.407 0.000 0.185
0.593 0.000 0.815
0.750 0.500 0.500
0.250 0.500 0.500
0.838 0.325 0.000
0.162 0.675 0.000
```

Calculated values
DFT total energy ... -7.80 eV/atom
Space group ... Fmmm
Total magnetization ... 0.000 μB per atom
E_form ... 0.5639 eV/atom

=====

No. 6
The following is a DFT calculation (PBE) of an optimized crystal structure of YZrNb2.

```
YZrNb2
1.0
0.000 3.517 3.517
3.517 0.000 3.517
3.517 3.517 0.000
Zr Nb Y
1 2 1
direct
0.500 0.500 0.500
0.750 0.750 0.750
0.250 0.250 0.250
0.000 0.000 0.000
```

Calculated values
DFT total energy ... -8.44 eV/atom
Space group ... Fm-3m
Total magnetization ... 0.000 μB per atom
E_form ... 0.3516 eV/atom

=====

No. 7
The following is a DFT calculation (PBE) of an optimized crystal structure of Y3ZrNb.

```
Y3ZrNb
1.0
-2.794 4.559 0.344
-4.294 -2.478 -2.031
-1.569 -1.335 4.946
Y Nb Zr
3 1 1
direct
0.000 0.000 0.500
0.000 0.500 0.000
0.500 0.000 0.000
0.500 0.500 0.500
0.000 0.000 0.000
```

Calculated values
DFT total energy ... -6.35 eV/atom
Space group ... Pm-3m
Total magnetization ... 0.001 μB per atom
E_form ... 1.2536 eV/atom

=====

No. 8
The following is a DFT calculation (PBE) of an optimized crystal structure of YZrNb.

```
YZrNb
1.0
5.059 0.000 0.000
0.000 6.412 0.000
0.000 0.000 8.752
Nb Y Zr
4 4 4
direct
0.500 0.500 0.659
0.500 0.500 0.341
0.000 0.000 0.159
0.000 0.000 0.841
0.000 0.750 0.500
0.000 0.250 0.500
0.500 0.250 0.000
0.500 0.750 0.000
0.000 0.500 0.828
0.000 0.500 0.172
0.500 0.000 0.672
0.500 0.000 0.328
```

Calculated values
DFT total energy ... -8.20 eV/atom
Space group ... Immm
Total magnetization ... 0.000 μB per atom
E_form ... 0.1647 eV/atom